Density functional theory data (PBE+U) for CrOsNF2 after structural relaxation.

```
5
Lattice="4.298 0.000 0.000 0.000 4.298 0.000 0.000 0.000 3.760" Properties=species:S:1:pos:R:3 pbc="T T T"
Cr 0.000 0.000 0.000
Os 2.149 2.149 1.880
N 2.149 2.149 0.000
F 0.000 2.149 1.880
F 2.149 0.000 1.880
```

Values from the calculation:
Space-group type   P4/mmm (123)
Crystal system   tetragonal
ρ   7.0 g cm⁻³
Offset from the most stable computed form   0.000 eV/atom
Uncorrected energy   -0.4735 Ry/atom